DFT (PBE-GGA) results for a relaxed structure of YHoMg.

Properties
Polymorph energy (0 for the lowest one) in kJ/mol of atoms: 4.65
Calculated total energy in eV per atom: -4.208
Energy of formation in eV per atom: 0.004
Total magnetic moment in μB per cell: 0.000
Density of states at the Fermi level in states/eV per atom: 1.240

```
data_YHoMg
_chemical_formula_sum 'Y2 Ho2 Mg2'
_space_group_name_H-M_alt 'P 1 21 1'
_space_group_IT_number 4
_space_group_name_Hall 'P 2yb'
_cell_length_a 3.4562
_cell_length_b 5.3809
_cell_length_c 9.4392
_cell_angle_alpha 90.00
_cell_angle_beta 90.01
_cell_angle_gamma 90.00
loop_
_atom_site_label
_atom_site_fract_x
_atom_site_fract_y
_atom_site_fract_z
_atom_site_occupancy
Y1 0.9998 0.0000 0.2451 1
Ho1 0.4984 0.4999 0.4153 1
Mg1 0.4988 0.0014 0.9203 1
```